(1)
First-principles (SCAN) data for RbHC2O4 at its PBEsol-relaxed geometry, as listed in the Alexandria database.

a b c (Å): 4.306 7.878 13.518
angles (deg): 90.00 90.00 103.79
Fractional positions:
O 0.734 0.446 0.897
O 0.650 0.418 0.732
O 0.118 0.667 0.734
C 0.701 0.287 0.341
C 0.586 0.873 0.675
O 0.734 0.946 0.603
O 0.350 0.582 0.268
H 0.867 0.531 0.729
H 0.867 0.031 0.771
Rb 0.801 0.731 0.436
C 0.586 0.373 0.825
C 0.414 0.627 0.175
O 0.266 0.554 0.103
O 0.882 0.833 0.234
O 0.350 0.082 0.232
O 0.266 0.145 0.925
C 0.414 0.127 0.325
O 0.266 0.645 0.575
O 0.266 0.054 0.397
O 0.118 0.167 0.766
C 0.299 0.713 0.659
Rb 0.801 0.231 0.064
O 0.734 0.355 0.425
H 0.133 0.469 0.271
Rb 0.199 0.269 0.564
O 0.882 0.333 0.266
O 0.734 0.855 0.075
C 0.701 0.787 0.159
Rb 0.199 0.769 0.936
H 0.133 0.969 0.229
O 0.650 0.918 0.768
C 0.299 0.213 0.841

The value obtained for the total DFT energy (no corrections) is -10.06 eV per atom. As for the magnetization: 0.00 μB per atom.

=====

(2)
First-principles (SCAN) data for Si6Sb2H36C12O3 at its PBEsol-relaxed geometry, as listed in the Alexandria database.

a b c (Å): 9.846 9.862 16.451
angles (deg): 92.59 90.21 119.48
Fractional positions:
C 0.766 0.283 0.629
H 0.453 0.360 0.157
Si 0.276 0.413 0.825
H 0.396 0.039 0.273
Si 0.620 0.581 0.358
H 0.962 0.692 0.624
H 0.937 0.301 0.145
H 0.771 0.226 0.570
H 0.840 0.472 0.881
C 0.726 0.459 0.898
C 0.482 0.036 0.315
H 0.350 0.391 0.395
H 0.100 0.979 0.181
H 0.016 0.731 0.175
H 0.064 0.416 0.906
H 0.119 0.085 0.092
H 0.279 0.869 0.118
Si 0.566 0.263 0.860
Si 0.870 0.021 0.356
C 0.573 0.381 0.147
Sb 0.629 0.823 0.431
Si 0.380 0.419 0.642
H 0.479 0.092 0.374
H 0.060 0.469 0.803
H 0.145 0.712 0.329
H 0.157 0.405 0.561
H 0.063 0.699 0.855
H 0.397 0.888 0.033
H 0.714 0.555 0.873
H 0.855 0.288 0.671
H 0.936 0.584 0.094
H 0.939 0.028 0.571
H 0.882 0.189 0.050
H 0.604 0.961 0.727
H 0.995 0.856 0.335
H 0.518 0.991 0.876
H 0.721 0.131 0.882
H 0.410 0.319 0.309
H 0.401 0.897 0.710
H 0.736 0.169 0.119
H 0.547 0.640 0.843
H 0.422 0.650 0.917
H 0.352 0.464 0.296
H 0.658 0.467 0.482
O 0.283 0.372 0.728
C 0.587 0.575 0.663
H 0.578 0.350 0.083
C 0.923 0.611 0.158
H 0.274 0.526 0.035
H 0.650 0.609 0.605
H 0.984 0.269 0.825
H 0.843 0.595 0.439
C 0.969 0.028 0.636
C 0.604 0.109 0.900
C 0.066 0.781 0.594
H 0.720 0.405 0.393
C 0.145 0.814 0.885
Si 0.567 0.171 0.672
H 0.940 0.531 0.197
O 0.829 0.030 0.259
C 0.077 0.389 0.842
H 0.900 0.021 0.819
C 0.396 0.891 0.100
H 0.521 0.908 0.626
H 0.118 0.811 0.950
H 0.280 0.595 0.607
Si 0.433 0.829 0.328
Si 0.724 0.587 0.175
C 0.413 0.425 0.337
C 0.855 0.186 0.115
H 0.590 0.681 0.691
H 0.286 0.445 0.127
C 0.918 0.929 0.844
C 0.427 0.619 0.853
Si 0.874 0.028 0.163
H 0.603 0.112 0.967
H 0.229 0.774 0.430
C 0.274 0.541 0.102
Si 0.434 0.737 0.140
H 0.159 0.182 0.191
O 0.171 0.970 0.741
H 0.137 0.060 0.336
C 0.082 0.071 0.156
H 0.648 0.536 0.704
O 0.430 0.741 0.240
H 0.160 0.528 0.119
H 0.482 0.009 0.124
C 0.934 0.219 0.406
C 0.234 0.717 0.371
H 0.408 0.699 0.815
H 0.842 0.251 0.402
Si 0.126 0.972 0.837
H 0.599 0.103 0.290
C 0.518 0.964 0.685
H 0.841 0.818 0.809
H 0.863 0.940 0.664
H 0.726 0.474 0.965
H 0.061 0.972 0.429
H 0.158 0.749 0.598
C 0.280 0.494 0.576
Sb 0.691 0.772 0.080
H 0.005 0.144 0.665
H 0.795 0.404 0.617
H 0.342 0.533 0.518
O 0.570 0.259 0.760
H 0.205 0.596 0.383
H 0.964 0.221 0.471
Sb 0.371 0.177 0.569
H 0.036 0.779 0.529
H 0.592 0.301 0.185
H 0.881 0.915 0.908
O 0.717 0.628 0.272
C 0.720 0.506 0.424
Si 0.130 0.979 0.644
H 0.264 0.831 0.881
H 0.038 0.308 0.376
Sb 0.309 0.228 0.920
C 0.031 0.972 0.364

The value obtained for the total DFT energy (no corrections) is -7.16 eV per atom. As for the magnetization: 0.00 μB per atom.

=====

(3)
First-principles (SCAN) data for SmH3C3O6 at its PBEsol-relaxed geometry, as listed in the Alexandria database.

a b c (Å): 3.983 6.194 6.194
angles (deg): 115.54 102.38 102.38
Fractional positions:
H 0.008 0.483 0.483
O 0.501 0.748 0.748
O 0.447 0.397 0.397
C 0.772 0.000 0.461
O 0.051 0.000 0.603
H 0.525 0.517 0.000
O 0.051 0.603 0.000
O 0.753 0.252 0.000
H 0.525 0.000 0.517
C 0.311 0.539 0.539
O 0.753 0.000 0.252
Sm 0.164 0.000 0.000
C 0.772 0.461 0.000

The value obtained for the total DFT energy (no corrections) is -10.99 eV per atom. As for the magnetization: 0.00 μB per atom.

=====

(4)
First-principles (SCAN) data for SrH6C2O6 at its PBEsol-relaxed geometry, as listed in the Alexandria database.

a b c (Å): 7.021 7.323 11.887
angles (deg): 90.00 90.00 90.00
Fractional positions:
O 0.399 0.252 0.069
H 0.386 0.947 0.738
O 0.468 0.084 0.400
Sr 0.294 0.240 0.571
O 0.536 0.476 0.503
O 0.365 0.619 0.891
H 0.984 0.043 0.917
O 0.865 0.881 0.109
H 0.634 0.981 0.192
C 0.028 0.852 0.495
H 0.016 0.543 0.583
O 0.615 0.928 0.757
Sr 0.794 0.260 0.429
O 0.036 0.024 0.497
O 0.135 0.381 0.391
O 0.248 0.974 0.719
C 0.472 0.148 0.995
O 0.101 0.748 0.569
C 0.793 0.977 0.186
H 0.452 0.714 0.576
H 0.866 0.019 0.692
H 0.516 0.957 0.417
H 0.366 0.481 0.308
O 0.032 0.916 0.900
H 0.548 0.214 0.924
C 0.207 0.477 0.314
O 0.752 0.474 0.781
C 0.528 0.648 0.505
Sr 0.206 0.760 0.071
C 0.293 0.523 0.814
H 0.801 0.377 0.835
H 0.199 0.877 0.665
C 0.972 0.352 0.005
H 0.134 0.519 0.808
O 0.252 0.026 0.219
H 0.614 0.447 0.762
H 0.117 0.933 0.832
H 0.383 0.067 0.332
H 0.114 0.053 0.238
O 0.601 0.752 0.431
O 0.885 0.072 0.257
H 0.484 0.457 0.083
O 0.748 0.526 0.281
H 0.699 0.623 0.335
O 0.385 0.428 0.743
H 0.886 0.553 0.262
H 0.048 0.286 0.076
O 0.115 0.572 0.243
H 0.952 0.786 0.424
O 0.532 0.584 0.100
Sr 0.706 0.740 0.929
O 0.968 0.416 0.600
C 0.707 0.023 0.686
O 0.899 0.248 0.931
O 0.964 0.524 0.003
O 0.635 0.119 0.609
H 0.883 0.433 0.668
H 0.301 0.123 0.165
H 0.617 0.567 0.168
O 0.464 0.976 0.997

The value obtained for the total DFT energy (no corrections) is -8.09 eV per atom. As for the magnetization: 0.00 μB per atom.

=====

(5)
First-principles (SCAN) data for SrH3C3O7 at its PBEsol-relaxed geometry, as listed in the Alexandria database.

a b c (Å): 5.680 6.377 16.867
angles (deg): 90.00 90.00 97.78
Fractional positions:
C 0.158 0.846 0.222
O 0.423 0.422 0.166
H 0.465 0.714 0.432
O 0.737 0.482 0.555
O 0.664 0.295 0.348
Sr 0.767 0.620 0.081
C 0.582 0.633 0.763
O 0.736 0.824 0.219
O 0.568 0.857 0.437
H 0.010 0.358 0.254
H 0.305 0.129 0.604
Sr 0.733 0.880 0.581
O 0.932 0.643 0.937
C 0.082 0.133 0.737
O 0.763 0.018 0.055
O 0.432 0.143 0.563
O 0.577 0.578 0.834
C 0.595 0.085 0.018
O 0.164 0.795 0.152
C 0.342 0.654 0.722
O 0.839 0.384 0.230
O 0.923 0.922 0.334
O 0.339 0.884 0.270
H 0.990 0.642 0.746
H 0.195 0.371 0.104
Sr 0.267 0.120 0.419
O 0.764 0.676 0.719
O 0.069 0.777 0.492
O 0.836 0.205 0.848
O 0.336 0.705 0.652
H 0.805 0.629 0.896
O 0.237 0.982 0.945
C 0.658 0.346 0.278
H 0.965 0.214 0.068
O 0.236 0.324 0.281
O 0.431 0.723 0.992
H 0.510 0.858 0.246
O 0.661 0.116 0.730
C 0.405 0.915 0.982
H 0.035 0.786 0.932
O 0.068 0.357 0.063
H 0.695 0.871 0.396
C 0.418 0.367 0.237
C 0.095 0.585 0.482
O 0.077 0.078 0.666
H 0.535 0.286 0.568
O 0.264 0.176 0.781
O 0.569 0.277 0.008
H 0.490 0.142 0.754
O 0.161 0.616 0.770
C 0.918 0.867 0.263
O 0.263 0.518 0.445
C 0.842 0.154 0.778
O 0.931 0.223 0.508
Sr 0.233 0.380 0.919
C 0.905 0.415 0.518

The value obtained for the total DFT energy (no corrections) is -9.15 eV per atom. As for the magnetization: 0.00 μB per atom.

=====

(6)
First-principles (SCAN) data for TbH3C3O6 at its PBEsol-relaxed geometry, as listed in the Alexandria database.

a b c (Å): 3.924 6.124 6.124
angles (deg): 115.57 102.33 102.33
Fractional positions:
O 0.112 0.000 0.393
O 0.719 0.607 0.607
Tb 0.999 0.000 0.000
O 0.112 0.393 0.000
O 0.409 0.749 0.000
H 0.645 0.483 0.000
C 0.854 0.461 0.461
H 0.162 0.517 0.517
C 0.393 0.000 0.539
O 0.660 0.251 0.251
O 0.409 0.000 0.749
C 0.393 0.539 0.000
H 0.645 0.000 0.483

The value obtained for the total DFT energy (no corrections) is -11.16 eV per atom. As for the magnetization: 0.00 μB per atom.

=====

(7)
First-principles (SCAN) data for TbHC3O6 at its PBEsol-relaxed geometry, as listed in the Alexandria database.

a b c (Å): 6.534 6.992 10.553
angles (deg): 90.00 90.00 90.00
Fractional positions:
C 0.048 0.596 0.020
C 0.871 0.875 0.250
O 0.804 0.449 0.250
O 0.961 0.031 0.750
O 0.696 0.949 0.250
C 0.548 0.904 0.980
C 0.129 0.125 0.750
O 0.978 0.261 0.451
O 0.522 0.761 0.049
C 0.548 0.904 0.520
O 0.539 0.531 0.750
C 0.952 0.404 0.520
H 0.619 0.217 0.250
O 0.648 0.909 0.876
C 0.452 0.096 0.020
C 0.629 0.375 0.250
Tb 0.634 0.198 0.750
O 0.478 0.239 0.951
O 0.039 0.969 0.250
O 0.648 0.909 0.624
C 0.048 0.596 0.480
O 0.852 0.409 0.624
O 0.148 0.591 0.124
O 0.352 0.091 0.376
O 0.352 0.091 0.124
O 0.522 0.761 0.451
C 0.452 0.096 0.480
Tb 0.366 0.802 0.250
O 0.461 0.469 0.250
O 0.148 0.591 0.376
O 0.478 0.239 0.549
O 0.852 0.409 0.876
O 0.196 0.551 0.750
Tb 0.134 0.302 0.250
O 0.304 0.051 0.750
H 0.881 0.717 0.250
H 0.119 0.283 0.750
H 0.381 0.783 0.750
O 0.022 0.739 0.549
C 0.371 0.625 0.750
Tb 0.866 0.698 0.750
O 0.978 0.261 0.049
C 0.952 0.404 0.980
O 0.022 0.739 0.951

The value obtained for the total DFT energy (no corrections) is -12.53 eV per atom. As for the magnetization: 0.00 μB per atom.

=====

- Which value of magnetization does entry 5 give?
  0.00 μB per atom

=====

- Look up the magnetization of the fifth one.
  0.00 μB per atom